First-principles (SCAN) data for a PBEsol-optimized structure of BeTlW, as listed in Alexandria via LeMat-Bulk.

Properties
The energy above the most stable polymorph in this dataset comes out at 0.0000 eV/atom. Its crystal system is cubic. The calculation puts the calculated formation energy at 111.2 kJ/mol of atoms.

```
data_BeTlW
_symmetry_space_group_name_H-M 'F -4 3 m'
_symmetry_Int_Tables_number 216
_symmetry_space_group_name_Hall 'F -4 2 3'
_cell_length_a 5.794
_cell_length_b 5.794
_cell_length_c 5.794
_cell_angle_alpha 90.00
_cell_angle_beta 90.00
_cell_angle_gamma 90.00
loop_
_atom_site_label
_atom_site_type_symbol
_atom_site_fract_x
_atom_site_fract_y
_atom_site_fract_z
_atom_site_occupancy
Be1 Be 0.000 0.000 0.000 1
Tl1 Tl 0.250 0.250 0.250 1
W1 W 0.250 0.250 0.750 1
```

***

First-principles (SCAN) data for a PBEsol-optimized structure of BeTlW, as listed in Alexandria via LeMat-Bulk.

Properties
The energy above the most stable polymorph in this dataset comes out at 0.4398 eV/atom. Its crystal system is cubic. The calculation puts the calculated formation energy at 153.7 kJ/mol of atoms.

```
data_BeTlW
_symmetry_space_group_name_H-M 'F -4 3 m'
_symmetry_Int_Tables_number 216
_symmetry_space_group_name_Hall 'F -4 2 3'
_cell_length_a 6.176
_cell_length_b 6.176
_cell_length_c 6.176
_cell_angle_alpha 90.00
_cell_angle_beta 90.00
_cell_angle_gamma 90.00
loop_
_atom_site_label
_atom_site_type_symbol
_atom_site_fract_x
_atom_site_fract_y
_atom_site_fract_z
_atom_site_occupancy
Be1 Be 0.000 0.000 0.000 1
Tl1 Tl 0.000 0.000 0.500 1
W1 W 0.250 0.250 0.250 1
```

***

First-principles (SCAN) data for a PBEsol-optimized structure of Y2BeTl, as listed in Alexandria via LeMat-Bulk.

Properties
The energy above the most stable polymorph in this dataset comes out at 0.2020 eV/atom. Its crystal system is trigonal. The calculation puts the calculated formation energy at -7.3 kJ/mol of atoms.

```
data_Y2BeTl
_symmetry_space_group_name_H-M 'R -3 m'
_symmetry_Int_Tables_number 166
_symmetry_space_group_name_Hall '-R 3 2"'
_cell_length_a 3.6263
_cell_length_b 3.6263
_cell_length_c 26.1062
_cell_angle_alpha 90.00
_cell_angle_beta 90.00
_cell_angle_gamma 120.00
loop_
_atom_site_label
_atom_site_type_symbol
_atom_site_fract_x
_atom_site_fract_y
_atom_site_fract_z
_atom_site_occupancy
Y1 Y 0.0000 0.0000 0.2382 1
Be1 Be 0.0000 0.0000 0.5000 1
Tl1 Tl 0.0000 0.0000 0.0000 1
```